1.
## Ac3SiHg2 (PBE)

Data for a relaxed Ac3SiHg2 crystal.

Unit cell a=4.418 b=13.639 c=13.242 alpha=90.00 beta=90.00 gamma=90.00
Element x y z (fractional)
Ac (0.250, 0.787, 0.719)
Ac (0.750, 0.869, 0.440)
Ac (0.250, 0.131, 0.560)
Ac (0.250, 0.369, 0.060)
Ac (0.750, 0.548, 0.619)
Ac (0.750, 0.213, 0.281)
Ac (0.250, 0.452, 0.381)
Ac (0.250, 0.713, 0.219)
Ac (0.750, 0.287, 0.781)
Ac (0.750, 0.631, 0.940)
Ac (0.750, 0.952, 0.119)
Ac (0.250, 0.048, 0.881)
Hg (0.750, 0.311, 0.514)
Hg (0.250, 0.489, 0.816)
Hg (0.250, 0.811, 0.986)
Hg (0.250, 0.689, 0.486)
Hg (0.750, 0.189, 0.014)
Hg (0.250, 0.011, 0.316)
Hg (0.750, 0.989, 0.684)
Hg (0.750, 0.511, 0.184)
Si (0.750, 0.629, 0.372)
Si (0.250, 0.371, 0.628)
Si (0.250, 0.129, 0.128)
Si (0.750, 0.871, 0.872)

Output
**Space-group type**: No. 62
**Formation energy from raw total energies**: -421 meV per atom

=====

2.
## LiGePbAu (PBE)

Data for a relaxed LiGePbAu crystal.

Unit cell a=4.897 b=4.897 c=4.897 alpha=60.00 beta=60.00 gamma=60.00
Element x y z (fractional)
Au (0.000, 0.000, 0.000)
Li (0.500, 0.500, 0.500)
Pb (0.750, 0.750, 0.750)
Ge (0.250, 0.250, 0.250)

Output
**VASP energy**: -3.459 eV/atom
**Space-group type**: No. 216

=====

3.
## Ca4ZrTa3N8 (PBE)

Data for a relaxed Ca4ZrTa3N8 crystal.

Unit cell a=6.433 b=6.707 c=6.433 alpha=118.66 beta=120.00 gamma=90.00
Element x y z (fractional)
N (0.737, 0.712, 0.475)
N (0.757, 0.287, 0.029)
N (0.243, 0.713, 0.971)
N (0.243, 0.713, 0.486)
N (0.263, 0.288, 0.525)
N (0.272, 0.287, 0.029)
N (0.728, 0.713, 0.971)
N (0.757, 0.287, 0.514)
Ca (0.000, 0.000, 0.000)
Ca (0.500, 0.000, 0.500)
Ca (0.000, 0.000, 0.500)
Ca (0.500, 0.000, 0.000)
Ta (0.000, 0.500, 0.500)
Ta (0.500, 0.500, 0.000)
Ta (0.500, 0.500, 0.500)
Zr (0.000, 0.500, 0.000)

Output
**Space-group type**: No. 166
**Formation energy from raw total energies**: -1305 meV per atom

=====

4.
## Li2AcTeO2 (PBE)

Data for a relaxed Li2AcTeO2 crystal.

Unit cell a=5.858 b=7.550 c=5.766 alpha=79.50 beta=90.00 gamma=90.00
Element x y z (fractional)
Ac (0.250, 0.157, 0.906)
Ac (0.750, 0.843, 0.094)
Li (0.250, 0.765, 0.776)
Li (0.750, 0.003, 0.568)
Li (0.250, 0.997, 0.432)
Li (0.750, 0.235, 0.224)
Te (0.750, 0.463, 0.571)
Te (0.250, 0.537, 0.429)
O (0.990, 0.067, 0.225)
O (0.510, 0.067, 0.225)
O (0.010, 0.933, 0.775)
O (0.490, 0.933, 0.775)

Output
**Space-group type**: No. 11
**Formation energy from raw total energies**: -2011 meV per atom